First-principles (PBE) data for crystalline ZnReO2 at its relaxed geometry, as listed in the Alexandria database.

Lattice parameters (Å, degrees): 7.430 7.430 7.430 21.21 21.21 21.21
Sites, in units of the cell vectors:
O 0.104 0.104 0.104
Zn 0.000 0.000 0.000
O 0.896 0.896 0.896
Re 0.500 0.500 0.500

Results
uncorrected energy: -27.017 eV/f.u.
raw formation energy: -845 meV/atom



First-principles (PBE) data for crystalline Ni12Rh6W at its relaxed geometry, as listed in the Alexandria database.

Lattice parameters (Å, degrees): 6.271 6.271 6.271 92.34 92.34 92.34
Site moments in Bohr magnetons follow the coordinates.
Sites, in units of the cell vectors:
Rh 0.264 0.716 0.880  0.61
Ni 0.464 0.547 0.215  0.79
Ni 0.145 0.375 0.058  0.55
Rh 0.736 0.284 0.120  0.61
Ni 0.855 0.625 0.942  0.55
Ni 0.942 0.855 0.625  0.55
Rh 0.880 0.264 0.716  0.61
Ni 0.625 0.942 0.855  0.55
Rh 0.120 0.736 0.284  0.61
Ni 0.547 0.215 0.464  0.79
Rh 0.716 0.880 0.264  0.61
Rh 0.284 0.120 0.736  0.61
Ni 0.785 0.536 0.453  0.79
Ni 0.453 0.785 0.536  0.79
Ni 0.536 0.453 0.785  0.79
W 0.000 0.000 0.000  -0.18
Ni 0.215 0.464 0.547  0.79
Ni 0.375 0.058 0.145  0.55
Ni 0.058 0.145 0.375  0.55

Results
uncorrected energy: -123.554 eV/f.u.
formation enthalpy at 0 K: 0.15 eV per atom



First-principles (PBE) data for crystalline InAu2Se at its relaxed geometry, as listed in the Alexandria database.

Lattice parameters (Å, degrees): 4.044 4.044 5.566 90.00 90.00 90.00
Sites, in units of the cell vectors:
Au 0.000 0.000 0.124
Au 0.500 0.500 0.126
Se 0.500 0.500 0.627
In 0.000 0.000 0.623

Results
uncorrected energy: -12.998 eV/f.u.
raw formation energy: -55 meV/atom



First-principles (PBE) data for crystalline Tm3Te2Se2 at its relaxed geometry, as listed in the Alexandria database.

Lattice parameters (Å, degrees): 4.096 7.079 7.296 98.46 90.03 106.86
Sites, in units of the cell vectors:
Tm 0.753 0.506 0.243
Te 0.882 0.764 0.619
Te 0.118 0.236 0.381
Tm 0.000 0.000 0.000
Se 0.373 0.746 0.112
Se 0.627 0.254 0.888
Tm 0.247 0.494 0.757

Results
uncorrected energy: -37.831 eV/f.u.
raw formation energy: -1595 meV/atom



First-principles (PBE) data for crystalline CaErZnCd at its relaxed geometry, as listed in the Alexandria database.

Lattice parameters (Å, degrees): 5.212 5.212 5.212 60.00 60.00 60.00
Sites, in units of the cell vectors:
Ca 0.000 0.000 0.000
Cd 0.750 0.750 0.750
Er 0.500 0.500 0.500
Zn 0.250 0.250 0.250

Results
uncorrected energy: -9.924 eV/f.u.
formation enthalpy at 0 K: -0.29 eV per atom



First-principles (PBE) data for crystalline PuPaGaFe at its relaxed geometry, as listed in the Alexandria database.

Lattice parameters (Å, degrees): 4.689 4.689 4.689 60.00 60.00 60.00
Site moments in Bohr magnetons follow the coordinates.
Sites, in units of the cell vectors:
Ga 0.750 0.750 0.750  0.04
Pa 0.250 0.250 0.250  1.15
Pu 0.500 0.500 0.500  5.40
Fe 0.000 0.000 0.000  -0.74

Results
uncorrected energy: -35.671 eV/f.u.
formation enthalpy at 0 K: -0.09 eV per atom



First-principles (PBE) data for crystalline ZrGe2Ir at its relaxed geometry, as listed in the Alexandria database.

Lattice parameters (Å, degrees): 3.042 3.042 9.565 80.85 80.85 60.00
Sites, in units of the cell vectors:
Ge 0.099 0.099 0.704
Zr 0.000 0.000 0.000
Ir 0.500 0.500 0.500
Ge 0.901 0.901 0.296

Results
uncorrected energy: -26.580 eV/f.u.
formation enthalpy at 0 K: 0.02 eV per atom



First-principles (PBE) data for crystalline RhPbS3 at its relaxed geometry, as listed in the Alexandria database.

Lattice parameters (Å, degrees): 5.125 5.125 5.125 90.00 90.00 90.00
Site moments in Bohr magnetons follow the coordinates.
Sites, in units of the cell vectors:
S 0.000 0.000 0.500  0.27
Rh 0.500 0.500 0.500  1.86
S 0.000 0.500 0.000  0.40
S 0.500 0.000 0.000  0.32
Pb 0.000 0.000 0.000  -0.02

Results
uncorrected energy: -17.445 eV/f.u.
raw formation energy: 1199 meV/atom



First-principles (PBE) data for crystalline KSCl2O at its relaxed geometry, as listed in the Alexandria database.

Lattice parameters (Å, degrees): 6.174 6.174 3.341 90.00 90.00 90.00
Sites, in units of the cell vectors:
K 0.500 0.500 0.500
Cl 0.500 0.000 0.000
Cl 0.000 0.500 0.000
S 0.000 0.000 0.500
O 0.000 0.000 0.000

Results
uncorrected energy: -16.064 eV/f.u.
raw formation energy: -437 meV/atom



First-principles (PBE) data for crystalline Ho2TmHg3 at its relaxed geometry, as listed in the Alexandria database.

Lattice parameters (Å, degrees): 5.219 5.219 12.846 90.00 90.00 120.00
Sites, in units of the cell vectors:
Hg 0.667 0.333 0.084
Ho 0.000 0.000 0.500
Hg 0.000 0.000 0.749
Hg 0.667 0.333 0.583
Tm 0.333 0.667 0.667
Ho 0.000 0.000 0.000
Ho 0.667 0.333 0.832
Tm 0.667 0.333 0.333
Hg 0.000 0.000 0.251
Ho 0.333 0.667 0.168
Hg 0.333 0.667 0.916
Hg 0.333 0.667 0.417

Results
uncorrected energy: -17.394 eV/f.u.
formation enthalpy at 0 K: -0.48 eV per atom



First-principles (PBE) data for crystalline Sr2CdGePd at its relaxed geometry, as listed in the Alexandria database.

Lattice parameters (Å, degrees): 5.894 5.894 4.726 90.00 90.00 90.00
Sites, in units of the cell vectors:
Sr 0.500 0.000 0.000
Pd 0.000 0.000 0.000
Sr 0.000 0.500 0.000
Cd 0.500 0.500 0.500
Ge 0.000 0.000 0.500

Results
uncorrected energy: -16.076 eV/f.u.
formation enthalpy at 0 K: -0.40 eV per atom



First-principles (PBE) data for crystalline PmSmAu6 at its relaxed geometry, as listed in the Alexandria database.

Lattice parameters (Å, degrees): 4.780 5.029 8.493 86.63 73.66 61.63
Sites, in units of the cell vectors:
Au 0.499 0.251 0.750
Sm 0.000 0.500 0.500
Au 0.751 0.124 0.374
Au 0.248 0.376 0.128
Pm 0.000 0.000 0.000
Au 0.501 0.749 0.250
Au 0.752 0.624 0.872
Au 0.249 0.876 0.626

Results
uncorrected energy: -34.308 eV/f.u.
formation enthalpy at 0 K: -0.65 eV per atom



First-principles (PBE) data for crystalline Ta2ZnCr at its relaxed geometry, as listed in the Alexandria database.

Lattice parameters (Å, degrees): 3.239 3.239 6.017 90.00 90.00 90.00
Site moments in Bohr magnetons follow the coordinates.
Sites, in units of the cell vectors:
Zn 0.000 0.000 0.518  -0.03
Ta 0.500 0.500 0.257  -0.14
Cr 0.500 0.500 0.745  1.12
Ta 0.000 0.000 0.980  -0.17

Results
uncorrected energy: -34.124 eV/f.u.
formation enthalpy at 0 K: 0.12 eV per atom



First-principles (PBE) data for crystalline TbNdThAl at its relaxed geometry, as listed in the Alexandria database.

Lattice parameters (Å, degrees): 5.447 5.447 5.447 60.00 60.00 60.00
Sites, in units of the cell vectors:
Nd 0.750 0.750 0.750
Al 0.000 0.000 0.000
Tb 0.500 0.500 0.500
Th 0.250 0.250 0.250

Results
uncorrected energy: -20.588 eV/f.u.
formation enthalpy at 0 K: -0.01 eV per atom



First-principles (PBE) data for crystalline Nd5YMg6 at its relaxed geometry, as listed in the Alexandria database.

Lattice parameters (Å, degrees): 5.472 7.756 8.661 90.00 71.54 90.00
Sites, in units of the cell vectors:
Mg 0.500 0.248 0.000
Nd 0.000 0.500 0.000
Mg 0.835 0.246 0.330
Nd 0.669 0.500 0.663
Nd 0.666 0.000 0.669
Nd 0.334 0.000 0.331
Y 0.000 0.000 0.000
Mg 0.835 0.754 0.330
Nd 0.331 0.500 0.337
Mg 0.500 0.752 0.000
Mg 0.165 0.246 0.670
Mg 0.165 0.754 0.670

Results
uncorrected energy: -41.204 eV/f.u.
formation enthalpy at 0 K: -0.11 eV per atom



First-principles (PBE) data for crystalline Ce2PmSc3P6 at its relaxed geometry, as listed in the Alexandria database.

Lattice parameters (Å, degrees): 6.829 6.829 6.760 99.69 99.69 120.00
Site moments in Bohr magnetons follow the coordinates.
Sites, in units of the cell vectors:
P 0.427 0.090 0.269  -0.01
Sc 0.834 0.166 0.500  0.01
P 0.910 0.573 0.731  -0.01
Ce 0.667 0.333 0.000  0.28
Pm 0.000 0.000 0.000  0.01
P 0.247 0.247 0.729  -0.01
P 0.753 0.753 0.271  -0.01
Ce 0.333 0.667 0.000  0.28
P 0.090 0.427 0.269  -0.01
P 0.573 0.910 0.731  -0.01
Sc 0.166 0.834 0.500  0.01
Sc 0.500 0.500 0.500  0.01

Results
uncorrected energy: -85.938 eV/f.u.
formation enthalpy at 0 K: -1.49 eV per atom



First-principles (PBE) data for crystalline NaBe3Os at its relaxed geometry, as listed in the Alexandria database.

Lattice parameters (Å, degrees): 3.946 3.946 3.946 90.00 90.00 90.00
Sites, in units of the cell vectors:
Be 0.500 0.000 0.000
Be 0.000 0.500 0.000
Os 0.500 0.500 0.500
Be 0.000 0.000 0.500
Na 0.000 0.000 0.000

Results
uncorrected energy: -14.217 eV/f.u.
formation enthalpy at 0 K: 1.90 eV per atom



First-principles (PBE) data for crystalline Ce2MgS4 at its relaxed geometry, as listed in the Alexandria database.

Lattice parameters (Å, degrees): 8.097 8.097 8.097 60.00 60.00 60.00
Site moments in Bohr magnetons follow the coordinates.
Sites, in units of the cell vectors:
S 0.373 0.882 0.373  -0.02
S 0.368 0.877 0.877  -0.02
S 0.373 0.373 0.373  -0.02
S 0.877 0.368 0.877  -0.02
S 0.373 0.373 0.882  -0.02
Mg 0.500 0.500 0.500  0.01
S 0.877 0.877 0.368  -0.02
S 0.882 0.373 0.373  -0.02
Ce 0.125 0.125 0.625  0.89
Ce 0.625 0.125 0.125  0.89
Ce 0.125 0.125 0.125  0.89
Ce 0.125 0.625 0.125  0.89
S 0.877 0.877 0.877  -0.02
Mg 0.750 0.750 0.750  0.01

Results
uncorrected energy: -42.149 eV/f.u.
raw formation energy: -1740 meV/atom



First-principles (PBE) data for crystalline GeH at its relaxed geometry, as listed in the Alexandria database.

Lattice parameters (Å, degrees): 8.794 4.282 5.192 90.00 90.00 90.00
Sites, in units of the cell vectors:
Ge 0.764 0.005 0.743
Ge 0.000 0.665 0.640
H 0.369 0.670 0.258
Ge 0.500 0.335 0.140
H 0.631 0.670 0.258
H 0.869 0.330 0.758
Ge 0.236 0.005 0.743
H 0.000 0.521 0.361
Ge 0.736 0.995 0.243
H 0.131 0.330 0.758
Ge 0.264 0.995 0.243
H 0.500 0.479 0.861

Results
uncorrected energy: -7.261 eV/f.u.



First-principles (PBE) data for crystalline TaCdRe at its relaxed geometry, as listed in the Alexandria database.

Lattice parameters (Å, degrees): 5.034 5.034 5.034 148.44 127.99 62.12
Sites, in units of the cell vectors:
Cd 0.998 0.998 0.000
Re 0.333 0.333 0.000
Ta 0.669 0.669 0.000

Results
uncorrected energy: -24.300 eV/f.u.
formation enthalpy at 0 K: 0.31 eV per atom